Compound: Na2PPtRh
Source: Alexandria
Functional: PBE
Structure: relaxed

Calculated values
formation energy from the elements = 366 meV per atom
density of states at the Fermi level = 0.4864 states/eV/atom
magnetic moment = 0.00 μB/cell

Unit cell a=5.048 b=4.314 c=5.048 alpha=90.00 beta=90.00 gamma=90.00
Sites, in units of the cell vectors:
Pt  0.500  0.500  0.500
Na  0.000  0.000  0.500
Na  0.500  0.000  0.000
Rh  0.000  0.500  0.000
P  0.000  0.000  0.000


Compound: K2Na8Sn
Source: Alexandria
Functional: PBE
Structure: relaxed

Calculated values
formation energy from the elements = -21 meV per atom
density of states at the Fermi level = 0.4480 states/eV/atom
magnetic moment = 0.00 μB/cell

Unit cell a=5.764 b=8.983 c=9.514 alpha=112.82 beta=107.63 gamma=90.00
Sites, in units of the cell vectors:
Na  0.652  0.881  0.304
Na  0.970  0.285  0.939
Na  0.429  0.597  0.858
Na  0.571  0.403  0.142
Na  0.030  0.715  0.061
Na  0.348  0.119  0.696
Na  0.892  0.881  0.784
Na  0.108  0.119  0.216
K  0.233  0.665  0.467
K  0.767  0.335  0.533
Sn  0.500  0.000  0.000